# SrMg3Rh PBEsol relaxed
# * total DFT energy (no corrections): -3.23 eV per atom
# * DOS at the Fermi energy: 2.44 states/eV/f.u.
# * energy of formation: -0.204 eV per atom
data_SrMg3Rh
_space_group_name_H-M_alt 'P m -3 m'
_space_group_IT_number 221
_space_group_name_Hall '-P 4 2 3'
_cell_length_a 5.0289
_cell_length_b 5.0289
_cell_length_c 5.0289
_cell_angle_alpha 90.00
_cell_angle_beta 90.00
_cell_angle_gamma 90.00
loop_
_atom_site_label
_atom_site_type_symbol
_atom_site_fract_x
_atom_site_fract_y
_atom_site_fract_z
Sr1 Sr 0.0000 0.0000 0.0000
Mg1 Mg 0.0000 0.5000 0.5000
Rh1 Rh 0.5000 0.5000 0.5000

# SrMg2Rh PBEsol relaxed
# * total DFT energy (no corrections): -3.54 eV per atom
# * DOS at the Fermi energy: 1.83 states/eV/f.u.
# * energy of formation: -0.185 eV per atom
data_SrMg2Rh
_space_group_name_H-M_alt 'R 3 m'
_space_group_IT_number 160
_space_group_name_Hall 'R 3 -2"'
_cell_length_a 4.5880
_cell_length_b 4.5880
_cell_length_c 16.5539
_cell_angle_alpha 90.00
_cell_angle_beta 90.00
_cell_angle_gamma 120.00
loop_
_atom_site_label
_atom_site_type_symbol
_atom_site_fract_x
_atom_site_fract_y
_atom_site_fract_z
Sr1 Sr 0.0000 0.0000 0.0000
Mg1 Mg 0.0000 0.0000 0.5297
Mg2 Mg 0.0000 0.0000 0.8025
Rh1 Rh 0.0000 0.0000 0.1890

# Sr2MgRh PBEsol relaxed
# * total DFT energy (no corrections): -3.32 eV per atom
# * DOS at the Fermi energy: 2.09 states/eV/f.u.
# * energy of formation: 0.068 eV per atom
data_Sr2MgRh
_space_group_name_H-M_alt 'P 4/m m m'
_space_group_IT_number 123
_space_group_name_Hall '-P 4 2'
_cell_length_a 5.0962
_cell_length_b 5.0962
_cell_length_c 4.1417
_cell_angle_alpha 90.00
_cell_angle_beta 90.00
_cell_angle_gamma 90.00
loop_
_atom_site_label
_atom_site_type_symbol
_atom_site_fract_x
_atom_site_fract_y
_atom_site_fract_z
Sr1 Sr 0.0000 0.5000 0.0000
Mg1 Mg 0.0000 0.0000 0.5000
Rh1 Rh 0.5000 0.5000 0.5000

# SrMg2TeRh PBEsol relaxed
# * total DFT energy (no corrections): -3.80 eV per atom
# * DOS at the Fermi energy: 1.92 states/eV/f.u.
data_SrMg2TeRh
_space_group_name_H-M_alt 'P 4/m m m'
_space_group_IT_number 123
_space_group_name_Hall '-P 4 2'
_cell_length_a 4.9020
_cell_length_b 4.9020
_cell_length_c 5.3779
_cell_angle_alpha 90.00
_cell_angle_beta 90.00
_cell_angle_gamma 90.00
loop_
_atom_site_label
_atom_site_type_symbol
_atom_site_fract_x
_atom_site_fract_y
_atom_site_fract_z
Sr1 Sr 0.0000 0.0000 0.0000
Mg1 Mg 0.0000 0.5000 0.5000
Te1 Te 0.5000 0.5000 0.0000
Rh1 Rh 0.5000 0.5000 0.5000

# Sr2MgRhW PBEsol relaxed
# * total DFT energy (no corrections): -4.54 eV per atom
# * DOS at the Fermi energy: 6.42 states/eV/f.u.
# * energy of formation: 0.925 eV per atom
data_Sr2MgRhW
_space_group_name_H-M_alt 'P 4/m m m'
_space_group_IT_number 123
_space_group_name_Hall '-P 4 2'
_cell_length_a 5.8467
_cell_length_b 5.8467
_cell_length_c 4.6091
_cell_angle_alpha 90.00
_cell_angle_beta 90.00
_cell_angle_gamma 90.00
loop_
_atom_site_label
_atom_site_type_symbol
_atom_site_fract_x
_atom_site_fract_y
_atom_site_fract_z
Sr1 Sr 0.0000 0.5000 0.0000
Mg1 Mg 0.0000 0.0000 0.5000
Rh1 Rh 0.5000 0.5000 0.5000
W1 W 0.5000 0.5000 0.0000

# MgTa2Rh PBEsol relaxed
# * total DFT energy (no corrections): -8.73 eV per atom
# * DOS at the Fermi energy: 3.04 states/eV/f.u.
# * energy of formation: 0.007 eV per atom
data_MgTa2Rh
_space_group_name_H-M_alt 'C 1 2/m 1'
_space_group_IT_number 12
_cell_length_a 5.3697
_cell_length_b 9.2976
_cell_length_c 2.7815
_cell_angle_alpha 90.00
_cell_angle_beta 108.84
_cell_angle_gamma 90.00
loop_
_space_group_symop_operation_xyz
'x,y,z'
'-x,-y,-z'
'-x,y,-z'
'x,-y,z'
'x+1/2,y+1/2,z'
'-x+1/2,-y+1/2,-z'
'-x+1/2,y+1/2,-z'
'x+1/2,-y+1/2,z'
loop_
_atom_site_label
_atom_site_type_symbol
_atom_site_fract_x
_atom_site_fract_y
_atom_site_fract_z
Mg1 Mg 0.0000 0.0000 0.0000
Ta1 Ta 0.2500 0.2500 0.5000
Rh1 Rh 0.0000 0.5000 0.0000

# MgTa2Rh PBEsol relaxed
# * total DFT energy (no corrections): -8.75 eV per atom
# * DOS at the Fermi energy: 3.50 states/eV/f.u.
# * energy of formation: -0.006 eV per atom
data_MgTa2Rh
_space_group_name_H-M_alt 'C m m m'
_space_group_IT_number 65
_space_group_name_Hall '-C 2 2'
_cell_length_a 3.8794
_cell_length_b 4.1289
_cell_length_c 8.5472
_cell_angle_alpha 90.00
_cell_angle_beta 90.00
_cell_angle_gamma 90.00
loop_
_atom_site_label
_atom_site_type_symbol
_atom_site_fract_x
_atom_site_fract_y
_atom_site_fract_z
Mg1 Mg 0.0000 0.0000 0.0000
Ta1 Ta 0.0000 0.5000 0.2793
Rh1 Rh 0.0000 0.0000 0.5000

# MgTaRh2 PBEsol relaxed
# * total DFT energy (no corrections): -7.57 eV per atom
# * DOS at the Fermi energy: 5.62 states/eV/f.u.
# * energy of formation: 0.070 eV per atom
data_MgTaRh2
_space_group_name_H-M_alt 'F -4 3 m'
_space_group_IT_number 216
_space_group_name_Hall 'F -4 2 3'
_cell_length_a 6.2503
_cell_length_b 6.2503
_cell_length_c 6.2503
_cell_angle_alpha 90.00
_cell_angle_beta 90.00
_cell_angle_gamma 90.00
loop_
_atom_site_label
_atom_site_type_symbol
_atom_site_fract_x
_atom_site_fract_y
_atom_site_fract_z
Mg1 Mg 0.0000 0.0000 0.0000
Ta1 Ta 0.2500 0.2500 0.2500
Rh1 Rh 0.0000 0.0000 0.5000
Rh2 Rh 0.2500 0.2500 0.7500

# MgTaRh2 PBEsol relaxed
# * total DFT energy (no corrections): -8.12 eV per atom
# * DOS at the Fermi energy: 2.43 states/eV/f.u.
# * energy of formation: -0.483 eV per atom
data_MgTaRh2
_space_group_name_H-M_alt 'C m m m'
_space_group_IT_number 65
_space_group_name_Hall '-C 2 2'
_cell_length_a 6.0673
_cell_length_b 6.6953
_cell_length_c 2.9728
_cell_angle_alpha 90.00
_cell_angle_beta 90.00
_cell_angle_gamma 90.00
loop_
_atom_site_label
_atom_site_type_symbol
_atom_site_fract_x
_atom_site_fract_y
_atom_site_fract_z
Mg1 Mg 0.0000 0.0000 0.0000
Ta1 Ta 0.0000 0.5000 0.0000
Rh1 Rh 0.2500 0.2500 0.5000

# MgTa2Rh PBEsol relaxed
# * total DFT energy (no corrections): -8.77 eV per atom
# * DOS at the Fermi energy: 3.07 states/eV/f.u.
# * energy of formation: -0.026 eV per atom
data_MgTa2Rh
_space_group_name_H-M_alt 'P m m m'
_space_group_IT_number 47
_cell_length_a 3.1951
_cell_length_b 4.3772
_cell_length_c 4.6743
_cell_angle_alpha 90.00
_cell_angle_beta 90.00
_cell_angle_gamma 90.00
loop_
_space_group_symop_operation_xyz
'x,y,z'
'-x,-y,-z'
'-x,-y,z'
'x,y,-z'
'x,-y,-z'
'-x,y,z'
'-x,y,-z'
'x,-y,z'
loop_
_atom_site_label
_atom_site_type_symbol
_atom_site_fract_x
_atom_site_fract_y
_atom_site_fract_z
Mg1 Mg 0.0000 0.0000 0.0000
Ta1 Ta 0.0000 0.5000 0.5000
Ta2 Ta 0.5000 0.0000 0.5000
Rh1 Rh 0.5000 0.5000 0.0000

# MgTaRh2 PBEsol relaxed
# * total DFT energy (no corrections): -8.16 eV per atom
# * DOS at the Fermi energy: 3.39 states/eV/f.u.
# * energy of formation: -0.527 eV per atom
data_MgTaRh2
_space_group_name_H-M_alt 'P m m m'
_space_group_IT_number 47
_cell_length_a 3.0405
_cell_length_b 3.1370
_cell_length_c 6.4348
_cell_angle_alpha 90.00
_cell_angle_beta 90.00
_cell_angle_gamma 90.00
loop_
_space_group_symop_operation_xyz
'x,y,z'
'-x,-y,-z'
'-x,-y,z'
'x,y,-z'
'x,-y,-z'
'-x,y,z'
'-x,y,-z'
'x,-y,z'
loop_
_atom_site_label
_atom_site_type_symbol
_atom_site_fract_x
_atom_site_fract_y
_atom_site_fract_z
Mg1 Mg 0.0000 0.0000 0.0000
Ta1 Ta 0.0000 0.0000 0.5000
Rh1 Rh 0.5000 0.5000 0.2591

# Tb4MgRh PBEsol relaxed
# * total DFT energy (no corrections): -5.35 eV per atom
# * DOS at the Fermi energy: 5.04 states/eV/f.u.
# * energy of formation: -0.371 eV per atom
data_Tb4MgRh
_space_group_name_H-M_alt 'F -4 3 m'
_space_group_IT_number 216
_space_group_name_Hall 'F -4 2 3'
_cell_length_a 13.5412
_cell_length_b 13.5412
_cell_length_c 13.5412
_cell_angle_alpha 90.00
_cell_angle_beta 90.00
_cell_angle_gamma 90.00
loop_
_atom_site_label
_atom_site_type_symbol
_atom_site_fract_x
_atom_site_fract_y
_atom_site_fract_z
Tb1 Tb 0.0000 0.0000 0.1859
Tb2 Tb 0.0630 0.2500 0.2500
Tb3 Tb 0.0969 0.0969 0.5969
Mg1 Mg 0.1701 0.1701 0.8299
Rh1 Rh 0.1079 0.1079 0.3921

# MgTcRh PBEsol relaxed
# * total DFT energy (no corrections): -6.71 eV per atom
# * DOS at the Fermi energy: 1.83 states/eV/f.u.
# * energy of formation: 0.328 eV per atom
data_MgTcRh
_space_group_name_H-M_alt 'F -4 3 m'
_space_group_IT_number 216
_space_group_name_Hall 'F -4 2 3'
_cell_length_a 5.8706
_cell_length_b 5.8706
_cell_length_c 5.8706
_cell_angle_alpha 90.00
_cell_angle_beta 90.00
_cell_angle_gamma 90.00
loop_
_atom_site_label
_atom_site_type_symbol
_atom_site_fract_x
_atom_site_fract_y
_atom_site_fract_z
Mg1 Mg 0.0000 0.0000 0.0000
Tc1 Tc 0.0000 0.0000 0.5000
Rh1 Rh 0.2500 0.2500 0.2500

# Mg2TcRh PBEsol relaxed
# * total DFT energy (no corrections): -5.61 eV per atom
# * DOS at the Fermi energy: 2.82 states/eV/f.u.
# * energy of formation: 0.102 eV per atom
data_Mg2TcRh
_space_group_name_H-M_alt 'C 1 2/m 1'
_space_group_IT_number 12
_cell_length_a 5.3969
_cell_length_b 8.7662
_cell_length_c 2.7343
_cell_angle_alpha 90.00
_cell_angle_beta 110.02
_cell_angle_gamma 90.00
loop_
_space_group_symop_operation_xyz
'x,y,z'
'-x,-y,-z'
'-x,y,-z'
'x,-y,z'
'x+1/2,y+1/2,z'
'-x+1/2,-y+1/2,-z'
'-x+1/2,y+1/2,-z'
'x+1/2,-y+1/2,z'
loop_
_atom_site_label
_atom_site_type_symbol
_atom_site_fract_x
_atom_site_fract_y
_atom_site_fract_z
Mg1 Mg 0.2500 0.2500 0.0000
Tc1 Tc 0.0000 0.0000 0.5000
Rh1 Rh 0.0000 0.5000 0.5000

# Mg2TcRh PBEsol relaxed
# * total DFT energy (no corrections): -5.59 eV per atom
# * DOS at the Fermi energy: 5.03 states/eV/f.u.
# * energy of formation: 0.122 eV per atom
data_Mg2TcRh
_space_group_name_H-M_alt 'F -4 3 m'
_space_group_IT_number 216
_space_group_name_Hall 'F -4 2 3'
_cell_length_a 6.2652
_cell_length_b 6.2652
_cell_length_c 6.2652
_cell_angle_alpha 90.00
_cell_angle_beta 90.00
_cell_angle_gamma 90.00
loop_
_atom_site_label
_atom_site_type_symbol
_atom_site_fract_x
_atom_site_fract_y
_atom_site_fract_z
Mg1 Mg 0.0000 0.0000 0.0000
Mg2 Mg 0.2500 0.2500 0.2500
Tc1 Tc 0.0000 0.0000 0.5000
Rh1 Rh 0.2500 0.2500 0.7500

# MgTcRh2 PBEsol relaxed
# * total DFT energy (no corrections): -7.57 eV per atom
# * DOS at the Fermi energy: 2.49 states/eV/f.u.
# * energy of formation: -0.250 eV per atom
data_MgTcRh2
_space_group_name_H-M_alt 'P 4/m m m'
_space_group_IT_number 123
_space_group_name_Hall '-P 4 2'
_cell_length_a 2.7778
_cell_length_b 2.7778
_cell_length_c 7.3829
_cell_angle_alpha 90.00
_cell_angle_beta 90.00
_cell_angle_gamma 90.00
loop_
_atom_site_label
_atom_site_type_symbol
_atom_site_fract_x
_atom_site_fract_y
_atom_site_fract_z
Mg1 Mg 0.0000 0.0000 0.0000
Tc1 Tc 0.0000 0.0000 0.5000
Rh1 Rh 0.5000 0.5000 0.2625

# MgTc2Rh PBEsol relaxed
# * total DFT energy (no corrections): -7.98 eV per atom
# * DOS at the Fermi energy: 3.69 states/eV/f.u.
# * energy of formation: 0.120 eV per atom
data_MgTc2Rh
_space_group_name_H-M_alt 'P 4/m m m'
_space_group_IT_number 123
_space_group_name_Hall '-P 4 2'
_cell_length_a 3.5923
_cell_length_b 3.5923
_cell_length_c 4.4434
_cell_angle_alpha 90.00
_cell_angle_beta 90.00
_cell_angle_gamma 90.00
loop_
_atom_site_label
_atom_site_type_symbol
_atom_site_fract_x
_atom_site_fract_y
_atom_site_fract_z
Mg1 Mg 0.0000 0.0000 0.0000
Tc1 Tc 0.0000 0.5000 0.5000
Rh1 Rh 0.5000 0.5000 0.0000

# MgTcRh2 PBEsol relaxed
# * total DFT energy (no corrections): -7.32 eV per atom
# * DOS at the Fermi energy: 4.36 states/eV/f.u.
# * energy of formation: -0.005 eV per atom
data_MgTcRh2
_space_group_name_H-M_alt 'I -4 m 2'
_space_group_IT_number 119
_space_group_name_Hall 'I -4 -2'
_cell_length_a 3.7307
_cell_length_b 3.7307
_cell_length_c 8.1111
_cell_angle_alpha 90.00
_cell_angle_beta 90.00
_cell_angle_gamma 90.00
loop_
_atom_site_label
_atom_site_type_symbol
_atom_site_fract_x
_atom_site_fract_y
_atom_site_fract_z
Mg1 Mg 0.0000 0.0000 0.0000
Tc1 Tc 0.0000 0.5000 0.7500
Rh1 Rh 0.0000 0.0000 0.5000
Rh2 Rh 0.0000 0.5000 0.2500

# MgTcRh2 PBEsol relaxed
# * total DFT energy (no corrections): -7.36 eV per atom
# * DOS at the Fermi energy: 3.83 states/eV/f.u.
# * energy of formation: -0.044 eV per atom
data_MgTcRh2
_space_group_name_H-M_alt 'I 4/m m m'
_space_group_IT_number 139
_space_group_name_Hall '-I 4 2'
_cell_length_a 3.9473
_cell_length_b 3.9473
_cell_length_c 7.2796
_cell_angle_alpha 90.00
_cell_angle_beta 90.00
_cell_angle_gamma 90.00
loop_
_atom_site_label
_atom_site_type_symbol
_atom_site_fract_x
_atom_site_fract_y
_atom_site_fract_z
Mg1 Mg 0.0000 0.0000 0.0000
Tc1 Tc 0.0000 0.0000 0.5000
Rh1 Rh 0.0000 0.5000 0.2500

# MgTcRh PBEsol relaxed
# * total DFT energy (no corrections): -6.98 eV per atom
# * DOS at the Fermi energy: 3.50 states/eV/f.u.
# * energy of formation: 0.062 eV per atom
data_MgTcRh
_space_group_name_H-M_alt 'P 3 m 1'
_space_group_IT_number 156
_cell_length_a 2.7651
_cell_length_b 2.7651
_cell_length_c 6.7370
_cell_angle_alpha 90.00
_cell_angle_beta 90.00
_cell_angle_gamma 120.00
loop_
_space_group_symop_operation_xyz
'x,y,z'
'-y,x-y,z'
'-x+y,-x,z'
'-y,-x,z'
'-x+y,y,z'
'x,x-y,z'
loop_
_atom_site_label
_atom_site_type_symbol
_atom_site_fract_x
_atom_site_fract_y
_atom_site_fract_z
Mg1 Mg 0.0000 0.0000 0.0000
Tc1 Tc 0.6667 0.3333 0.3575
Rh1 Rh 0.3333 0.6667 0.6607